Compound: Pm2Sn3Pt2
Source: Alexandria via LeMat-Bulk
Functional: GGA-PBE
Structure: optimized geometry

```
14
Lattice="-0.8518 4.3188 -1.0550 -7.3005 -1.3355 0.4274 0.5555 0.2332 10.2175" Properties=species:S:1:pos:R:3 pbc="T T T"
Pt -7.3606 1.8445 3.7824
Pt -0.2363 1.3720 5.8074
Pt -3.2592 0.8190 5.9844
Sn -3.9275 1.3200 8.5746
Pm -5.4645 -0.8014 1.1315
Sn -0.7966 2.4221 0.8471
Pm -1.7830 0.4445 3.2591
Pt -4.3377 2.3975 3.6055
Pm -5.8139 2.7720 6.3307
Sn -5.4199 0.0226 4.4686
Pm -2.1323 4.0179 8.4583
Sn -6.8003 0.7944 8.7428
Sn -3.6693 1.8966 1.0152
Sn -2.1769 3.1939 5.1212
```

Results
The value obtained for the energy relative to the lowest polymorph listed for this composition is 0.0 meV per atom. The total energy comes out at -5.6121 eV/atom. As for the magnetization: 0.000 μB/cell. The space group is Cmcm (63). For the formation energy, the calculation gives -813 meV/atom.

***

Compound: DyY8Tl2
Source: Alexandria via LeMat-Bulk
Functional: GGA-PBE
Structure: optimized geometry

```
11
Lattice="5.6160 -0.2963 -0.4448 -1.3647 8.6494 -0.6459 -1.3647 -3.9273 7.7334" Properties=species:S:1:pos:R:3 pbc="T T T"
Y 1.4433 5.7529 0.9628
Dy 2.8080 -0.1482 -0.2224
Y 0.0762 2.3859 0.4628
Y 2.8511 1.6832 2.5264
Y 2.8104 2.0398 6.1800
Tl -1.3647 -0.0776 5.1685
Y 1.4433 -1.3272 5.6799
Y 0.0356 2.7425 4.1164
Y 0.0762 -0.4919 2.3801
Y 2.8104 4.9176 4.2626
Tl -1.3647 4.7997 1.9190
```

Results
The total energy comes out at -5.5723 eV/atom. As for the magnetization: 0.001 μB/cell. The space group is C2/m (12). For the formation energy, the calculation gives -23 meV/atom.

***

Compound: Tb2NdHo3Bi6
Source: Alexandria via LeMat-Bulk
Functional: GGA-PBE
Structure: optimized geometry

```
12
Lattice="-3.1061 -2.5525 2.0156 6.4328 -4.0028 4.8441 -1.0590 8.8772 4.5925" Properties=species:S:1:pos:R:3 pbc="T T T"
Bi 4.1722 1.3547 8.1451
Ho -2.2212 3.1361 5.5657
Ho 4.4888 -0.8141 5.8866
Ho 1.6633 -3.2776 3.4299
Nd -1.5530 -1.2762 1.0078
Tb 0.9966 1.1141 7.9639
Bi 1.6516 -1.0261 1.2458
Bi 1.3370 -1.0898 5.6976
Bi -1.9046 0.9673 3.3072
Bi 0.9306 3.4118 5.7546
Bi 0.6160 3.3481 10.2064
Tb 1.2710 1.2079 3.4883
```

Results
The total energy comes out at -5.1212 eV/atom. As for the magnetization: 0.000 μB/cell. The space group is C2/m (12). For the formation energy, the calculation gives -867 meV/atom.

***

Compound: TiIn2O
Source: Alexandria via LeMat-Bulk
Functional: GGA-PBE
Structure: optimized geometry

```
8
Lattice="-1.4598 3.3611 -6.0711 0.7286 -6.0954 -3.5498 -3.2440 -1.9321 -4.4311" Properties=species:S:1:pos:R:3 pbc="T T T"
Ti -2.5346 0.0309 -7.6563
In -1.5366 0.6354 -4.9480
Ti 0.0000 0.0000 0.0000
O -1.4404 -4.6974 -6.3957
In -2.6594 -2.8740 -7.1639
O -0.3656 -1.3672 -4.8104
In -0.6338 -3.6522 -4.4832
In -3.1205 -3.4421 -11.5089
```

Results
The uncorrected formation energy comes out at -0.942 eV per formula unit. The total energy comes out at -4.8181 eV/atom. As for the magnetization: 3.330 μB/cell. The space group is I-42d (122).

***

Compound: La3Y3Au4
Source: Alexandria via LeMat-Bulk
Functional: GGA-PBE
Structure: optimized geometry

```
10
Lattice="3.9495 0.0000 0.0000 0.0000 8.3725 0.0296 0.0000 0.1033 8.3719" Properties=species:S:1:pos:R:3 pbc="T T T"
Au 0.0000 7.4474 7.2490
La 1.9748 2.7895 2.8423
Y 1.9748 1.5002 6.9626
Au 0.0000 1.1615 1.0182
La 1.9748 7.0477 1.3661
Au 0.0000 3.0944 5.3543
La 1.9748 5.6090 5.6372
Au 0.0000 5.3199 3.1092
Y 0.0000 8.3990 4.2573
Y 0.0000 4.1447 0.0403
```

Results
The total energy comes out at -5.4056 eV/atom. As for the magnetization: 0.000 μB/cell. The space group is Amm2 (38). For the formation energy, the calculation gives -677 meV/atom.

***

Compound: SrMn2Au
Source: Alexandria via LeMat-Bulk
Functional: GGA-PBE
Structure: optimized geometry

```
4
Lattice="0.0383 -4.4088 3.2032 4.4158 -0.1609 3.1897 -3.7269 3.8372 -1.0418" Properties=species:S:1:pos:R:3 pbc="T T T"
Au -0.7307 -1.4282 2.6789
Mn 0.0000 0.0000 0.0000
Sr 1.4580 0.6957 2.6722
Mn 2.2270 -2.2849 3.1964
```

Results
The total energy comes out at -5.4116 eV/atom. As for the magnetization: 7.708 μB/cell. The space group is I4/mmm (139). For the formation energy, the calculation gives 413 meV/atom.

***

Compound: La2DyHo3Tm6
Source: Alexandria via LeMat-Bulk
Functional: GGA-PBE
Structure: optimized geometry

```
12
Lattice="-2.2103 -1.6142 -5.5038 4.4982 -3.2938 2.5883 -8.6119 -5.0678 6.0875" Properties=species:S:1:pos:R:3 pbc="T T T"
Dy 0.0000 0.0000 0.0000
Tm -0.5027 -2.8021 2.1614
Ho -0.9250 -5.5480 4.2843
Tm -3.5922 -7.7318 3.6994
Ho -3.1620 -4.9879 1.5860
Tm -2.7317 -2.2440 -0.5274
Tm -5.8212 -7.1737 1.0106
La 2.2618 -2.7339 -0.1093
Ho -5.3989 -4.4278 -1.1123
La 0.0261 -2.1741 -2.8061
Tm -0.4703 -4.9861 -0.6451
Tm -5.8536 -4.9897 3.8171
```

Results
The total energy comes out at -4.5579 eV/atom. As for the magnetization: 0.000 μB/cell. The space group is C2/m (12). For the formation energy, the calculation gives 27 meV/atom.

***

Compound: TbPrSm2Te5
Source: Alexandria via LeMat-Bulk
Functional: GGA-PBE
Structure: optimized geometry

```
9
Lattice="5.5527 0.0000 0.0000 0.0000 5.5527 0.0000 0.0000 0.0000 11.8901" Properties=species:S:1:pos:R:3 pbc="T T T"
Te 0.0000 0.0000 8.9110
Sm 2.7763 2.7763 4.1558
Sm 2.7763 2.7763 7.7342
Te 2.7763 2.7763 0.0000
Te 0.0000 2.7763 5.9450
Te 2.7763 0.0000 5.9450
Tb 0.0000 0.0000 5.9450
Pr 0.0000 0.0000 0.0000
Te 0.0000 0.0000 2.9791
```

Results
The uncorrected formation energy comes out at -7.009 eV per formula unit. The total energy comes out at -4.6184 eV/atom. As for the magnetization: 0.619 μB/cell. The space group is P4/mmm (123).

***

Among the records above, which one has the highest magnetization?
SrMn2Au

***

Number 5 is which compound?
La3Y3Au4

***

The highest magnetization belongs to which entry?
SrMn2Au